# 1
A plane-wave DFT calculation with PBE was carried out for crystalline LiCaAu at its relaxed geometry.

## Properties
DOS at the Fermi energy (states/eV/f.u.): 1.4
Formation enthalpy at 0 K (eV/atom): -0.558
Space-group type: P4_2/m
Total DFT energy (no corrections) (eV per atom): -2.956

Cell: 4.280 8.183 8.183 Å, 90.00 90.00 90.00°
Atoms (fractional coordinates):
Au1 0.500 0.338 0.070
Au2 0.000 0.070 0.662
Au3 0.000 0.930 0.338
Au4 0.500 0.662 0.930
Ca1 0.000 0.577 0.213
Ca2 0.000 0.423 0.787
Ca3 0.500 0.213 0.423
Ca4 0.500 0.787 0.577
Li1 0.000 0.850 0.903
Li2 0.000 0.150 0.097
Li3 0.500 0.097 0.850
Li4 0.500 0.903 0.150

# 2
A plane-wave DFT calculation with PBE was carried out for crystalline CdHRh3 at its relaxed geometry.

## Properties
DOS at the Fermi energy (states/eV/f.u.): 5.5
Space-group type: P2_1/c
Total DFT energy (no corrections) (eV per atom): -5.230

Cell: 18.135 4.635 7.552 Å, 90.00 155.66 90.00°
Atoms (fractional coordinates):
Cd1 0.110 0.259 0.196
Cd2 0.610 0.241 0.696
Cd3 0.390 0.759 0.304
Cd4 0.890 0.741 0.804
H1 0.630 0.575 0.014
H2 0.370 0.425 0.986
H3 0.870 0.075 0.486
H4 0.130 0.925 0.514
Rh1 0.792 0.742 0.229
Rh2 0.292 0.758 0.729
Rh3 0.208 0.258 0.771
Rh4 0.148 0.754 0.057
Rh5 0.708 0.242 0.271
Rh6 0.352 0.254 0.443
Rh7 0.007 0.745 0.420
Rh8 0.993 0.255 0.580
Rh9 0.493 0.245 0.080
Rh10 0.648 0.746 0.557
Rh11 0.852 0.246 0.943
Rh12 0.507 0.755 0.920

# 3
A plane-wave DFT calculation with PBE was carried out for crystalline LaOs3C at its relaxed geometry.

## Properties
DOS at the Fermi energy (states/eV/f.u.): 2.6
Formation enthalpy at 0 K (eV/atom): 0.325
Space-group type: Pm-3m
Total DFT energy (no corrections) (eV per atom): -9.243

Cell: 4.259 4.259 4.259 Å, 90.00 90.00 90.00°
Atoms (fractional coordinates):
Os1 0.000 0.000 0.500
Os2 0.000 0.500 0.000
Os3 0.500 0.000 0.000
La1 0.500 0.500 0.500
C1 0.000 0.000 0.000

# 4
A plane-wave DFT calculation with PBE was carried out for crystalline Tb2PrSe at its relaxed geometry.

## Properties
DOS at the Fermi energy (states/eV/f.u.): 4.3
E_form (uncorrected) (eV/atom): -0.814
Space-group type: R3m
Total DFT energy (no corrections) (eV per atom): -5.195

Cell: 3.832 3.832 9.880 Å, 78.82 78.82 60.00°
Atoms (fractional coordinates):
Tb1 0.064 0.064 0.808
Tb2 0.270 0.270 0.191
Se1 0.667 0.667 0.000
Pr1 0.500 0.500 0.501

# 5
A plane-wave DFT calculation with PBE was carried out for crystalline Pm6Pr3Sm2In at its relaxed geometry.

## Properties
DOS at the Fermi energy (states/eV/f.u.): 15.8
Formation enthalpy at 0 K (eV/atom): -0.044
Space-group type: C2/m
Total DFT energy (no corrections) (eV per atom): -4.629

Cell: 6.275 6.275 11.988 Å, 95.07 95.07 120.14°
Atoms (fractional coordinates):
Pm1 0.081 0.406 0.244
Pm2 0.756 0.756 0.246
Pm3 0.406 0.081 0.244
Pm4 0.244 0.244 0.754
Pm5 0.594 0.919 0.756
Pm6 0.919 0.594 0.756
In1 0.000 0.000 0.000
Sm1 0.334 0.666 0.000
Sm2 0.666 0.334 0.000
Pr1 0.831 0.169 0.500
Pr2 0.500 0.500 0.500
Pr3 0.169 0.831 0.500

# 6
A plane-wave DFT calculation with PBE was carried out for crystalline AlCd2CuB at its relaxed geometry.

## Properties
DOS at the Fermi energy (states/eV/f.u.): 2.7
Formation enthalpy at 0 K (eV/atom): 0.999
Space-group type: P4/mmm
Total DFT energy (no corrections) (eV per atom): -2.271

Cell: 5.247 3.951 5.247 Å, 90.00 90.00 90.00°
Atoms (fractional coordinates):
Cd1 0.500 0.000 0.000
Cd2 0.000 0.000 0.500
Al1 0.000 0.000 0.000
Cu1 0.500 0.500 0.500
B1 0.000 0.500 0.000

# 7
A plane-wave DFT calculation with PBE was carried out for crystalline Sc2MoRu3 at its relaxed geometry.

## Properties
DOS at the Fermi energy (states/eV/f.u.): 2.8
Formation enthalpy at 0 K (eV/atom): -0.407
Space-group type: Cmmm
Total DFT energy (no corrections) (eV per atom): -8.960

Cell: 3.149 4.515 7.107 Å, 108.52 90.00 90.00°
Atoms (fractional coordinates):
Ru1 0.500 0.500 0.000
Ru2 0.500 0.842 0.683
Ru3 0.500 0.158 0.317
Sc1 0.000 0.333 0.666
Sc2 0.000 0.667 0.334
Mo1 0.000 0.000 0.000

# 8
A plane-wave DFT calculation with PBE was carried out for crystalline Cd3InHg3 at its relaxed geometry.

## Properties
DOS at the Fermi energy (states/eV/f.u.): 1.5
Formation enthalpy at 0 K (eV/atom): 0.027
Space-group type: I-43m
Total DFT energy (no corrections) (eV per atom): -0.885

Cell: 9.756 9.756 9.756 Å, 109.47 109.47 109.47°
Atoms (fractional coordinates):
Hg1 0.287 0.727 0.287
Hg2 0.727 0.287 0.287
Hg3 0.560 0.560 0.273
Hg4 0.440 0.000 0.713
Hg5 0.560 0.273 0.560
Hg6 0.000 0.440 0.713
Hg7 0.713 0.000 0.440
Hg8 0.713 0.440 0.000
Hg9 0.273 0.560 0.560
Hg10 0.440 0.713 0.000
Hg11 0.287 0.287 0.727
Hg12 0.000 0.713 0.440
Cd1 0.208 0.805 0.805
Cd2 0.195 0.403 0.000
Cd3 0.792 0.597 0.597
Cd4 0.195 0.000 0.403
Cd5 0.805 0.805 0.208
Cd6 0.805 0.208 0.805
Cd7 0.403 0.000 0.195
Cd8 0.597 0.597 0.792
Cd9 0.000 0.403 0.195
Cd10 0.403 0.195 0.000
Cd11 0.597 0.792 0.597
Cd12 0.000 0.195 0.403
In1 0.216 0.216 0.216
In2 0.000 0.784 0.000
In3 0.000 0.000 0.784
In4 0.784 0.000 0.000

# 9
A plane-wave DFT calculation with PBE was carried out for crystalline La4CuAsBr2 at its relaxed geometry.

## Properties
DOS at the Fermi energy (states/eV/f.u.): 5.7
E_form (uncorrected) (eV/atom): -1.115
Space-group type: P2/m
Total DFT energy (no corrections) (eV per atom): -5.090

Cell: 4.260 7.667 7.625 Å, 108.38 90.00 90.00°
Atoms (fractional coordinates):
La1 0.000 0.260 0.774
La2 0.000 0.740 0.226
La3 0.500 0.766 0.779
La4 0.500 0.234 0.221
As1 0.500 0.500 0.000
Br1 0.500 0.000 0.500
Br2 0.000 0.500 0.500
Cu1 0.000 0.000 0.000

# 10
A plane-wave DFT calculation with PBE was carried out for crystalline SmFeOs at its relaxed geometry.

## Properties
DOS at the Fermi energy (states/eV/f.u.): 2.2
Formation enthalpy at 0 K (eV/atom): -0.123
Space-group type: Imma
Total DFT energy (no corrections) (eV per atom): -8.260

Cell: 5.357 5.350 5.350 Å, 58.71 59.96 59.96°
Atoms (fractional coordinates):
Os1 0.500 0.000 0.500
Os2 0.500 0.500 0.000
Fe1 0.500 0.000 0.000
Fe2 0.000 0.000 0.000
Sm1 0.872 0.378 0.378
Sm2 0.128 0.622 0.622

# 11
A plane-wave DFT calculation with PBE was carried out for crystalline HoErPd at its relaxed geometry.

## Properties
DOS at the Fermi energy (states/eV/f.u.): 3.5
Formation enthalpy at 0 K (eV/atom): -0.496
Space-group type: F-43m
Total DFT energy (no corrections) (eV per atom): -5.274

Cell: 4.854 4.854 4.854 Å, 60.00 60.00 60.00°
Atoms (fractional coordinates):
Pd1 0.250 0.250 0.250
Ho1 0.500 0.500 0.500
Er1 0.000 0.000 0.000

# 12
A plane-wave DFT calculation with PBE was carried out for crystalline Ce2Ga3Ni5 at its relaxed geometry.

## Properties
DOS at the Fermi energy (states/eV/f.u.): 10.8
Formation enthalpy at 0 K (eV/atom): -0.465
Space-group type: Ibam
Total DFT energy (no corrections) (eV per atom): -5.450

Cell: 5.425 8.261 8.261 Å, 73.29 70.83 70.83°
Atoms (fractional coordinates):
Ga1 0.853 0.736 0.558
Ga2 0.750 0.000 0.000
Ga3 0.147 0.264 0.442
Ga4 0.250 0.000 0.000
Ga5 0.353 0.558 0.736
Ga6 0.647 0.442 0.264
Ce1 0.129 0.609 0.133
Ce2 0.629 0.133 0.609
Ce3 0.871 0.391 0.867
Ce4 0.371 0.867 0.391
Ni1 0.046 0.204 0.204
Ni2 0.606 0.722 0.065
Ni3 0.454 0.796 0.796
Ni4 0.250 0.500 0.500
Ni5 0.894 0.935 0.278
Ni6 0.394 0.278 0.935
Ni7 0.546 0.204 0.204
Ni8 0.954 0.796 0.796
Ni9 0.750 0.500 0.500
Ni10 0.106 0.065 0.722